Entry from the Alexandria database: an optimized crystal structure of YIn2P (PBE-GGA).

Cell lengths 3.876, 3.876, 24.204 Å; angles 90.00, 90.00, 120.00 degrees
Atoms (fractional coordinates):
Y 0.000 0.000 0.000
Y 0.333 0.667 0.667
Y 0.667 0.333 0.333
In 0.000 0.000 0.231
In 0.000 0.000 0.467
In 0.333 0.667 0.133
In 0.333 0.667 0.898
In 0.667 0.333 0.564
In 0.667 0.333 0.800
P 0.000 0.000 0.732
P 0.333 0.667 0.398
P 0.667 0.333 0.065

## Properties
V in Å³/atom: 26.2
Calculated density in g/cm³: 5.5
Formation energy in eV/atom: -0.407

Entry from the Alexandria database: an optimized crystal structure of YInP2 (PBE-GGA).

Cell lengths 12.653, 3.672, 3.945 Å; angles 90.00, 90.01, 90.00 degrees
Atoms (fractional coordinates):
Y 0.000 0.000 0.000
Y 0.500 0.500 0.000
In 0.239 0.000 0.501
In 0.739 0.500 0.501
P 0.180 0.500 0.001
P 0.439 0.000 0.500
P 0.680 0.000 0.001
P 0.939 0.500 0.500

## Properties
V in Å³/atom: 22.9
Calculated density in g/cm³: 4.8
Formation energy in eV/atom: -0.665

Entry from the Alexandria database: an optimized crystal structure of YInP5 (PBE-GGA).

Cell lengths 3.816, 3.816, 9.295 Å; angles 90.00, 90.00, 90.00 degrees
Atoms (fractional coordinates):
Y 0.000 0.000 0.000
In 0.000 0.000 0.500
P 0.000 0.500 0.258
P 0.000 0.500 0.742
P 0.500 0.000 0.258
P 0.500 0.000 0.742
P 0.500 0.500 0.000

## Properties
V in Å³/atom: 19.3
Calculated density in g/cm³: 4.4
Formation energy in eV/atom: -0.006

Entry from the Alexandria database: an optimized crystal structure of YInP2 (PBE-GGA).

Cell lengths 3.958, 5.756, 3.956 Å; angles 90.00, 90.00, 90.00 degrees
Atoms (fractional coordinates):
Y 0.000 0.000 0.000
In 0.500 0.500 0.499
P 0.000 0.500 0.999
P 0.500 0.000 0.500

## Properties
V in Å³/atom: 22.5
Calculated density in g/cm³: 4.9
Formation energy in eV/atom: -0.710

Question: The highest V belongs to which entry?
Answer: YIn2P

Question: The highest formation energy belongs to which entry?
Answer: YInP5

Question: Look up the calculated density of the second one.
Answer: 4.8 g/cm³

Question: Which value of V does entry 2 give?
Answer: 22.9 Å³/atom